1.
Computed, not measured: a relaxed ZrBeCr3 crystal at the PBE level of DFT.

* energy above the most stable polymorph in this dataset: 0.0 meV/atom
* ΔE_f: 3.3 eV per formula unit
* total DFT energy (no corrections): -7.56 eV/atom
* space group: Pm-3m
* ρ: 6.17 g cm⁻³
* DOS at the Fermi energy: 6.92 states/eV per cell

Cell lengths 4.101, 4.101, 4.101 Å; angles 90.00, 90.00, 90.00 degrees
Sites, in units of the cell vectors:
Cr 0.000 0.500 0.000
Cr 0.000 0.000 0.500
Cr 0.500 0.000 0.000
Zr 0.500 0.500 0.500
Be 0.000 0.000 0.000

=====

2.
Computed, not measured: a relaxed Zr2BeCr crystal at the PBE level of DFT.

* ΔE_f: 0.2 eV per formula unit
* total DFT energy (no corrections): -7.55 eV/atom
* space group: P4/mmm
* ρ: 6.06 g cm⁻³
* DOS at the Fermi energy: 3.95 states/eV per cell

Cell lengths 3.249, 3.243, 7.115 Å; angles 62.90, 90.00, 90.00 degrees
Sites, in units of the cell vectors:
Cr 0.500 0.750 0.750
Zr 0.000 0.996 0.004
Zr 0.000 0.504 0.496
Be 0.500 0.250 0.250

=====

3.
Computed, not measured: a relaxed ZrBe2Cr crystal at the PBE level of DFT.

* energy above the most stable polymorph in this dataset: 227.7 meV/atom
* ΔE_f: 1.1 eV per formula unit
* total DFT energy (no corrections): -6.14 eV/atom
* space group: I-4m2
* ρ: 4.99 g cm⁻³
* DOS at the Fermi energy: 1.70 states/eV per cell

Cell lengths 4.694, 4.694, 4.694 Å; angles 133.40, 133.40, 68.02 degrees
Sites, in units of the cell vectors:
Cr 0.500 0.500 0.000
Zr 0.750 0.250 0.500
Be 0.000 0.000 0.000
Be 0.250 0.750 0.500

=====

Q: Look up the ΔE_f of the first one.
A: 3.3 eV per formula unit